Entry 1:
! BeAl2ZnRe PBE-GGA optimized geometry; values from VASP
&SYSTEM
  ibrav = 0, nat = 5, ntyp = 4
/
ATOMIC_SPECIES
Be 9.01 Be.upf
Al 26.98 Al.upf
Zn 65.41 Zn.upf
Re 186.21 Re.upf
CELL_PARAMETERS angstrom
4.2566 0.0000 0.0000
0.0000 4.2566 0.0000
0.0000 0.0000 4.0795
ATOMIC_POSITIONS angstrom
Be 0.0000 0.0000 0.0000
Al 0.0000 2.1283 0.0000
Al 2.1283 0.0000 0.0000
Zn 0.0000 0.0000 2.0398
Re 2.1283 2.1283 2.0398
! * raw total energy: -20.5 eV/cell
! * total moment: 1.30 μB per formula unit
! * SG: P4/mmm (123)
! * N(E_F): 3.460 states/eV/f.u.

***

Entry 2:
! ZnSnO2 PBE-GGA optimized geometry; values from VASP
&SYSTEM
  ibrav = 0, nat = 16, ntyp = 3
/
ATOMIC_SPECIES
Zn 65.41 Zn.upf
Sn 118.71 Sn.upf
O 16.00 O.upf
CELL_PARAMETERS angstrom
3.4276 0.0000 0.0000
-0.2066 7.9691 0.0000
-0.7274 -0.2676 9.1170
ATOMIC_POSITIONS angstrom
Zn 0.5967 2.9073 0.5522
Zn 0.7113 7.0302 1.2178
Zn 1.7824 0.6713 7.8992
Zn 1.8970 4.7942 8.5648
Sn -0.1447 6.5396 6.1638
Sn 0.8672 2.8733 6.2106
Sn 1.6264 4.8282 2.9064
Sn 2.6384 1.1619 2.9532
O -0.4326 4.4123 6.8509
O 0.0470 0.8704 6.8700
O 0.9017 1.0524 1.4831
O 0.9682 5.1074 0.6337
O 1.5255 2.5941 8.4833
O 1.5920 6.6491 7.6339
O 2.4466 6.8311 2.2470
O 2.9263 3.2892 2.2661
! * raw total energy: -79.6 eV/cell
! * total moment: 0.00 μB per formula unit
! * SG: P-1 (2)
! * N(E_F): 0.000 states/eV/f.u.

***

Entry 3:
! TaReAu2 PBE-GGA optimized geometry; values from VASP
&SYSTEM
  ibrav = 0, nat = 4, ntyp = 3
/
ATOMIC_SPECIES
Ta 180.95 Ta.upf
Re 186.21 Re.upf
Au 196.97 Au.upf
CELL_PARAMETERS angstrom
3.5264 0.0000 0.0000
0.0000 3.5264 0.0000
0.0000 0.0000 5.5260
ATOMIC_POSITIONS angstrom
Ta 0.0000 0.0000 0.0000
Re 0.0000 0.0000 2.7630
Au 1.7632 1.7632 1.3896
Au 1.7632 1.7632 4.1364
! * raw total energy: -29.1 eV/cell
! * total moment: 0.08 μB per formula unit
! * SG: P4/mmm (123)
! * N(E_F): 3.798 states/eV/f.u.

***

Entry 4:
! Th4PC3 PBE-GGA optimized geometry; values from VASP
&SYSTEM
  ibrav = 0, nat = 8, ntyp = 3
/
ATOMIC_SPECIES
Th 232.04 Th.upf
P 30.97 P.upf
C 12.01 C.upf
CELL_PARAMETERS angstrom
3.9033 -5.5085 0.0000
3.9033 5.5085 0.0000
0.0000 0.0000 3.8773
ATOMIC_POSITIONS angstrom
Th 1.8142 0.0000 1.9387
Th 3.9033 2.8473 0.0000
Th 3.9033 -2.8473 0.0000
Th 5.9924 0.0000 1.9387
P 3.9033 0.0000 0.0000
C 0.0000 0.0000 0.0000
C 1.9516 2.7542 1.9387
C 1.9516 -2.7542 1.9387
! * raw total energy: -67.1 eV/cell
! * total moment: 0.00 μB per formula unit
! * SG: Cmmm (65)
! * N(E_F): 2.203 states/eV/f.u.

***

Entry 5:
! CaY PBE-GGA optimized geometry; values from VASP
&SYSTEM
  ibrav = 0, nat = 4, ntyp = 2
/
ATOMIC_SPECIES
Ca 40.08 Ca.upf
Y 88.91 Y.upf
CELL_PARAMETERS angstrom
5.6688 0.0000 0.0000
-2.8344 4.9093 0.0000
0.0000 0.0000 6.3513
ATOMIC_POSITIONS angstrom
Ca 0.0000 3.2729 1.5878
Ca 2.8344 1.6364 4.7635
Y 0.0000 0.0000 0.0000
Y 0.0000 0.0000 3.1756
! * raw total energy: -14.2 eV/cell
! * total moment: 0.00 μB per formula unit
! * SG: P6_3/mmc (194)
! * N(E_F): 4.108 states/eV/f.u.

***

Entry 6:
! K2TlAuO4 PBE-GGA optimized geometry; values from VASP
&SYSTEM
  ibrav = 0, nat = 8, ntyp = 4
/
ATOMIC_SPECIES
K 39.10 K.upf
Tl 204.38 Tl.upf
Au 196.97 Au.upf
O 16.00 O.upf
CELL_PARAMETERS angstrom
-3.1768 3.1768 3.4998
3.1768 -3.1768 3.4998
3.1768 3.1768 -3.4998
ATOMIC_POSITIONS angstrom
K 0.0000 0.0000 0.0000
K 0.0000 3.1768 1.7499
Tl 3.1768 0.0000 1.7499
Au 0.0000 0.0000 3.4998
O 4.1638 1.4098 0.2885
O 1.4098 2.1898 -0.2885
O 1.7670 0.9870 3.2113
O -0.9870 1.7670 3.7884
! * raw total energy: -34.2 eV/cell
! * total moment: 0.00 μB per formula unit
! * SG: I-4 (82)

***

Entry 7:
! Ho5Hg2Rh2 PBE-GGA optimized geometry; values from VASP
&SYSTEM
  ibrav = 0, nat = 18, ntyp = 3
/
ATOMIC_SPECIES
Ho 164.93 Ho.upf
Hg 200.59 Hg.upf
Rh 102.91 Rh.upf
CELL_PARAMETERS angstrom
7.8854 -3.7211 0.0000
7.8854 3.7211 0.0000
0.0000 0.0000 7.6010
ATOMIC_POSITIONS angstrom
Ho 0.0000 0.0000 0.0000
Ho 5.9494 2.4519 5.0955
Ho 5.9494 1.2692 1.2949
Ho 9.8214 2.4519 5.0955
Ho 9.8214 1.2692 1.2949
Ho 7.8854 0.0000 3.8005
Ho 5.9494 -1.2692 6.3061
Ho 5.9494 -2.4519 2.5056
Ho 9.8214 -1.2692 6.3061
Ho 9.8214 -2.4519 2.5056
Hg 3.3767 0.0000 0.0000
Hg 4.5087 0.0000 3.8005
Hg 11.2621 0.0000 3.8005
Hg 12.3941 0.0000 0.0000
Rh 7.8854 2.7369 2.7753
Rh 7.8854 0.9842 6.5758
Rh 7.8854 -0.9842 1.0252
Rh 7.8854 -2.7369 4.8257
! * raw total energy: -88.1 eV/cell
! * total moment: 0.00 μB per formula unit
! * SG: Cmce (64)
! * N(E_F): 5.345 states/eV/f.u.

***

Entry 8:
! NaHgSb2F PBE-GGA optimized geometry; values from VASP
&SYSTEM
  ibrav = 0, nat = 5, ntyp = 4
/
ATOMIC_SPECIES
Na 22.99 Na.upf
Hg 200.59 Hg.upf
Sb 121.76 Sb.upf
F 19.00 F.upf
CELL_PARAMETERS angstrom
5.6665 0.0000 0.0000
0.0000 5.6665 0.0000
0.0000 0.0000 4.6108
ATOMIC_POSITIONS angstrom
Na 0.0000 0.0000 0.0000
Hg 2.8332 2.8332 2.3054
Sb 0.0000 2.8332 2.3054
Sb 2.8332 0.0000 2.3054
F 2.8332 2.8332 0.0000
! * raw total energy: -12.4 eV/cell
! * total moment: 0.00 μB per formula unit
! * SG: P4/mmm (123)
! * N(E_F): 3.750 states/eV/f.u.

***

Entry 9:
! BeSe2IBr PBE-GGA optimized geometry; values from VASP
&SYSTEM
  ibrav = 0, nat = 5, ntyp = 4
/
ATOMIC_SPECIES
Be 9.01 Be.upf
Se 78.96 Se.upf
I 126.90 I.upf
Br 79.90 Br.upf
CELL_PARAMETERS angstrom
5.4097 0.0000 0.0000
0.0000 5.4097 0.0000
0.0000 0.0000 5.7292
ATOMIC_POSITIONS angstrom
Be 0.0000 0.0000 0.0000
Se 0.0000 2.7048 2.8646
Se 2.7048 0.0000 2.8646
I 2.7048 2.7048 2.8646
Br 2.7048 2.7048 0.0000
! * raw total energy: -8.4 eV/cell
! * total moment: 0.42 μB per formula unit
! * SG: P4/mmm (123)
! * N(E_F): 3.125 states/eV/f.u.

***

Entry 10:
! ScNbN2O PBE-GGA optimized geometry; values from VASP
&SYSTEM
  ibrav = 0, nat = 5, ntyp = 4
/
ATOMIC_SPECIES
Sc 44.96 Sc.upf
Nb 92.91 Nb.upf
N 14.01 N.upf
O 16.00 O.upf
CELL_PARAMETERS angstrom
4.0774 0.0000 0.0000
0.0000 4.0774 0.0000
0.0000 0.0000 3.9058
ATOMIC_POSITIONS angstrom
Sc 0.0000 0.0000 0.0000
Nb 2.0387 2.0387 1.9529
N 0.0000 2.0387 1.9529
N 2.0387 0.0000 1.9529
O 2.0387 2.0387 0.0000
! * raw total energy: -43.4 eV/cell
! * total moment: 0.00 μB per formula unit
! * SG: P4/mmm (123)
! * N(E_F): 0.924 states/eV/f.u.

***

Entry 11:
! Ti5CoBi2 PBE-GGA optimized geometry; values from VASP
&SYSTEM
  ibrav = 0, nat = 16, ntyp = 3
/
ATOMIC_SPECIES
Ti 47.87 Ti.upf
Co 58.93 Co.upf
Bi 208.98 Bi.upf
CELL_PARAMETERS angstrom
2.2802 -6.4916 0.0000
2.2802 6.4916 0.0000
0.0000 0.0000 12.2266
ATOMIC_POSITIONS angstrom
Ti 2.2802 4.8292 7.6000
Ti 2.2802 4.8292 10.7399
Ti 2.2802 2.8368 3.0567
Ti 2.2802 2.5275 6.2405
Ti 2.2802 2.5275 12.0994
Ti 2.2802 -2.5275 0.1272
Ti 2.2802 -2.5275 5.9861
Ti 2.2802 -2.8368 9.1700
Ti 2.2802 -4.8292 1.4867
Ti 2.2802 -4.8292 4.6266
Co 2.2802 3.0717 9.1700
Co 2.2802 -3.0717 3.0567
Bi 2.2802 5.2478 1.4198
Bi 2.2802 5.2478 4.6936
Bi 2.2802 -5.2478 7.5331
Bi 2.2802 -5.2478 10.8069
! * raw total energy: -104.9 eV/cell
! * total moment: 0.00 μB per formula unit
! * SG: Cmcm (63)
! * N(E_F): 7.989 states/eV/f.u.

***

Entry 12:
! Ac4Zn5Au2 PBE-GGA optimized geometry; values from VASP
&SYSTEM
  ibrav = 0, nat = 11, ntyp = 3
/
ATOMIC_SPECIES
Ac 227.00 Ac.upf
Zn 65.41 Zn.upf
Au 196.97 Au.upf
CELL_PARAMETERS angstrom
7.5305 0.0000 0.0000
0.0000 4.1359 0.0000
-0.6175 0.0000 9.7261
ATOMIC_POSITIONS angstrom
Ac 1.1810 0.0000 3.6846
Ac 1.3670 0.0000 9.1109
Ac 5.5460 0.0000 0.6152
Ac 5.7320 0.0000 6.0415
Zn 1.1714 2.0679 6.3912
Zn 3.2840 2.0679 2.0655
Zn 3.4565 2.0679 4.8631
Zn 3.6290 2.0679 7.6606
Zn 5.7416 2.0679 3.3349
Au 0.4293 2.0679 1.4155
Au 6.4837 2.0679 8.3106
! * raw total energy: -33.4 eV/cell
! * total moment: 0.00 μB per formula unit
! * SG: P2/m (10)
! * N(E_F): 8.399 states/eV/f.u.

***

Entry 13:
! TbPmPS PBE-GGA optimized geometry; values from VASP
&SYSTEM
  ibrav = 0, nat = 4, ntyp = 4
/
ATOMIC_SPECIES
Tb 158.93 Tb.upf
Pm 145.00 Pm.upf
P 30.97 P.upf
S 32.06 S.upf
CELL_PARAMETERS angstrom
2.0145 1.1631 6.6212
-2.0145 1.1631 6.6212
0.0000 -2.3262 6.6212
ATOMIC_POSITIONS angstrom
Tb 0.0000 0.0000 0.0000
Pm 0.0000 0.0000 9.8201
P 0.0000 0.0000 14.7929
S 0.0000 0.0000 4.9612
! * raw total energy: -26.4 eV/cell
! * total moment: 0.00 μB per formula unit
! * SG: R3m (160)
! * N(E_F): 1.549 states/eV/f.u.